Below is WSe5 after structural relaxation, with properties calculated at the GGA-PBEsol level.

Unit cell a=4.901 b=4.901 c=7.070 alpha=90.00 beta=90.00 gamma=120.00
Fractional positions:
W 0.000 0.000 0.000
Se 0.000 0.500 0.500
Se 0.333 0.667 0.000
Se 0.500 0.000 0.500
Se 0.500 0.500 0.500
Se 0.667 0.333 0.000

Calculated values
space-group type	No. 191
E_form (uncorrected)	0.90	eV/atom
total energy	-4.6083	eV/atom
V	147.1	Å³ per cell